Record 1
Compound: Mg2GaAu6
Source: Alexandria
Functional: PBE
Structure: optimized geometry

a b c (Å): 3.9496 7.8693 7.3873
angles (deg): 122.19 105.47 90.00
With the nearest neighbours (Å) after each atom.
Sites, in units of the cell vectors:
Mg  0.6526  0.6521  0.3042  8 Au 2.80-2.85
Mg  0.3474  0.3479  0.6958  8 Au 2.80-2.85
Ga  0.0000  0.0000  0.0000  8 Au 2.67-2.75
Au  0.1685  0.4088  0.3368  1 Ga 2.75, 4 Au 2.77-2.81, 3 Mg 2.85
Au  0.8315  0.0720  0.6632  1 Ga 2.75, 4 Au 2.77-2.81, 3 Mg 2.85
Au  0.8315  0.5912  0.6632  1 Ga 2.75, 4 Au 2.77-2.81, 3 Mg 2.85
Au  0.5000  0.2282  0.0000  2 Ga 2.67, 2 Mg 2.80, 4 Au 2.81
Au  0.1685  0.9280  0.3368  1 Ga 2.75, 4 Au 2.77-2.81, 3 Mg 2.85
Au  0.5000  0.7718  0.0000  2 Ga 2.67, 2 Mg 2.80, 4 Au 2.81

- energy relative to the lowest polymorph listed for this composition (kcal/mol of atoms) = 2.451
- space-group type = No. 71


Record 2
Compound: Mg3Ga2Au7
Source: Alexandria
Functional: PBE
Structure: optimized geometry

a b c (Å): 3.7340 4.1838 15.2815
angles (deg): 98.13 90.00 90.00
With the nearest neighbours (Å) after each atom.
Sites, in units of the cell vectors:
Mg  0.5000  0.5000  0.0000  8 Au 2.80-2.84
Mg  0.0000  0.2020  0.4067  6 Au 2.84-3.02
Mg  0.0000  0.7980  0.5933  6 Au 2.84-3.02
Ga  0.5000  0.6390  0.2722  5 Au 2.49-2.72
Ga  0.5000  0.3610  0.7278  5 Au 2.49-2.72
Au  0.5000  0.7169  0.4365  1 Ga 2.49
Au  0.5000  0.2831  0.5635  1 Ga 2.49
Au  0.0000  0.5732  0.1416  2 Ga 2.72, 6 Au 2.82-2.99, 2 Mg 2.84
Au  0.0000  0.0000  0.0000  4 Mg 2.80, 8 Au 2.99-3.11
Au  0.0000  0.4268  0.8584  2 Ga 2.72, 6 Au 2.82-2.99, 2 Mg 2.84
Au  0.5000  0.9154  0.8352  2 Ga 2.65, 4 Au 2.82-2.83
Au  0.5000  0.0846  0.1648  2 Ga 2.65, 4 Au 2.82-2.83

- space-group type = No. 10


Record 3
Compound: MgGa2Au2
Source: Alexandria
Functional: PBE
Structure: optimized geometry

a b c (Å): 4.7505 4.7505 5.6624
angles (deg): 65.20 65.20 90.00
With the nearest neighbours (Å) after each atom.
Sites, in units of the cell vectors:
Mg  0.0000  0.0000  0.0000  8 Au 3.29, 10 Ga 3.33-3.58
Au  0.7500  0.2500  0.5000  4 Ga 2.60
Au  0.2500  0.7500  0.5000  4 Ga 2.60
Ga  0.3657  0.3657  0.2685  1 Ga 2.45, 4 Au 2.60
Ga  0.6343  0.6343  0.7315  1 Ga 2.45, 4 Au 2.60

- energy relative to the lowest polymorph listed for this composition (kcal/mol of atoms) = 4.112
- space-group type = No. 139


Record 4
Compound: Mg3Ga2Au4
Source: Alexandria
Functional: PBE
Structure: optimized geometry

a b c (Å): 4.6222 4.6238 9.4709
angles (deg): 102.45 90.00 119.99
With the nearest neighbours (Å) after each atom.
Sites, in units of the cell vectors:
Mg  0.6043  0.2086  0.7827  7 Au 2.83-2.93, 3 Ga 3.09-3.12
Mg  0.0000  0.0000  0.0000  8 Au 2.79-2.99
Mg  0.3957  0.7914  0.2173  7 Au 2.83-2.93, 3 Ga 3.09-3.12
Ga  0.7771  0.5542  0.3905  5 Au 2.63-2.75
Ga  0.2229  0.4458  0.6095  5 Au 2.63-2.75
Au  0.6949  0.3898  0.0910  1 Ga 2.75, 7 Mg 2.79-2.93
Au  0.3051  0.6102  0.9090  1 Ga 2.75, 7 Mg 2.79-2.93
Au  0.9093  0.8187  0.6743  4 Ga 2.63-2.74, 3 Mg 2.83-2.88
Au  0.0907  0.1813  0.3257  4 Ga 2.63-2.74, 3 Mg 2.83-2.88

- energy relative to the lowest polymorph listed for this composition (kcal/mol of atoms) = 0.000
- space-group type = No. 12


Record 5
Compound: MgGaAu4
Source: Alexandria
Functional: PBE
Structure: optimized geometry

a b c (Å): 4.7896 4.7123 5.2499
angles (deg): 89.95 63.24 89.89
With the nearest neighbours (Å) after each atom.
Sites, in units of the cell vectors:
Mg  0.0000  0.5000  0.5000  8 Au 2.77-2.81
Ga  0.5000  0.0000  0.5000  8 Au 2.78-2.81
Au  0.3443  0.4999  0.8145  2 Ga 2.78, 2 Mg 2.81, 5 Au 2.94-2.98
Au  0.6557  0.5001  0.1855  2 Ga 2.78, 2 Mg 2.81, 5 Au 2.94-2.98
Au  0.1537  0.0000  0.1882  2 Mg 2.77, 2 Ga 2.80-2.81, 5 Au 2.92-3.00
Au  0.8463  0.0000  0.8118  2 Mg 2.77, 2 Ga 2.80-2.81, 5 Au 2.92-3.00

- energy relative to the lowest polymorph listed for this composition (kcal/mol of atoms) = 0.000
- space-group type = No. 2


Record 6
Compound: Mg5GaAu2
Source: Alexandria
Functional: PBE
Structure: optimized geometry

a b c (Å): 4.3980 6.0057 11.5563
angles (deg): 90.00 90.00 90.00
With the nearest neighbours (Å) after each atom.
Sites, in units of the cell vectors:
Mg  0.5000  0.3172  0.1091  2 Ga 2.76, 3 Au 2.83-3.09
Mg  0.5000  0.6828  0.8909  2 Ga 2.76, 3 Au 2.83-3.09
Mg  0.5000  0.8172  0.3909  2 Ga 2.76, 3 Au 2.83-3.09
Mg  0.5000  0.1828  0.6091  2 Ga 2.76, 3 Au 2.83-3.09
Mg  0.0000  0.9007  0.7365  1 Ga 2.80, 4 Au 2.88-3.00, 5 Mg 3.02-3.12
Mg  0.0000  0.0993  0.2635  1 Ga 2.80, 4 Au 2.88-3.00, 5 Mg 3.02-3.12
Mg  0.0000  0.4007  0.7635  1 Ga 2.80, 4 Au 2.88-3.00, 5 Mg 3.02-3.12
Mg  0.0000  0.5993  0.2365  1 Ga 2.80, 4 Au 2.88-3.00, 5 Mg 3.02-3.12
Mg  0.0000  0.5000  0.5000  4 Au 2.90, 2 Ga 3.00, 6 Mg 3.10-3.17
Mg  0.0000  0.0000  0.0000  4 Au 2.90, 2 Ga 3.00, 6 Mg 3.10-3.17
Ga  0.0000  0.0000  0.5000  8 Mg 2.76-3.00
Ga  0.0000  0.5000  0.0000  8 Mg 2.76-3.00
Au  0.5000  0.3510  0.3565  9 Mg 2.83-3.09
Au  0.5000  0.6490  0.6435  9 Mg 2.83-3.09
Au  0.5000  0.1490  0.8565  9 Mg 2.83-3.09
Au  0.5000  0.8510  0.1435  9 Mg 2.83-3.09

- space-group type = No. 55


Record 7
Compound: Mg5Ga5Au2
Source: Alexandria
Functional: PBE
Structure: optimized geometry

a b c (Å): 4.4000 7.5557 7.7321
angles (deg): 76.70 73.47 73.07
With the nearest neighbours (Å) after each atom.
Sites, in units of the cell vectors:
Mg  0.5000  0.5000  0.5000  4 Au 2.92, 6 Ga 3.06-3.07, 2 Mg 3.14
Mg  0.3939  0.3028  0.9094  3 Au 2.90-3.01, 7 Ga 2.98-3.10, 2 Mg 3.14-3.22
Mg  0.3184  0.0281  0.3351  5 Ga 2.83-2.94, 1 Au 2.95
Mg  0.6816  0.9719  0.6649  5 Ga 2.83-2.94, 1 Au 2.95
Mg  0.6061  0.6972  0.0906  3 Au 2.90-3.01, 7 Ga 2.98-3.10, 2 Mg 3.14-3.22
Ga  0.9351  0.7790  0.3507  1 Au 2.65, 1 Ga 2.82, 3 Mg 2.83-2.90
Ga  0.2291  0.7255  0.8163  1 Ga 2.58, 2 Au 2.60
Ga  0.7709  0.2745  0.1837  1 Ga 2.58, 2 Au 2.60
Ga  0.0649  0.2210  0.6493  1 Au 2.65, 1 Ga 2.82, 3 Mg 2.83-2.90
Ga  0.0000  0.0000  0.0000  4 Ga 2.58-2.82
Au  0.8483  0.5591  0.7444  3 Ga 2.60-2.65, 1 Mg 2.90
Au  0.1517  0.4409  0.2556  3 Ga 2.60-2.65, 1 Mg 2.90

- space-group type = No. 12


Record 8
Compound: Mg2Ga5Au3
Source: Alexandria
Functional: PBE
Structure: optimized geometry

a b c (Å): 4.1133 7.5605 12.3347
angles (deg): 90.00 99.60 90.00
With the nearest neighbours (Å) after each atom.
Sites, in units of the cell vectors:
Mg  0.4779  0.8065  0.9558  5 Au 2.78-3.06, 3 Ga 3.00-3.05
Mg  0.1815  0.6731  0.3630  4 Au 2.86-2.91, 6 Ga 2.98-3.18
Mg  0.8185  0.1731  0.6370  4 Au 2.86-2.91, 6 Ga 2.98-3.18
Mg  0.5221  0.3065  0.0442  5 Au 2.78-3.06, 3 Ga 3.00-3.05
Ga  0.4021  0.4002  0.8041  1 Ga 2.53, 2 Au 2.69
Ga  0.3004  0.4697  0.6008  1 Ga 2.53, 3 Au 2.66-2.82
Ga  0.6996  0.9697  0.3992  1 Ga 2.53, 3 Au 2.66-2.82
Ga  0.1213  0.2701  0.2426  4 Au 2.68-2.85
Ga  0.2900  0.8655  0.5800  4 Au 2.60-2.64
Ga  0.9411  0.1625  0.8822  4 Au 2.59-2.83, 2 Ga 2.89
Ga  0.7100  0.3655  0.4200  4 Au 2.60-2.64
Ga  0.8787  0.7701  0.7574  4 Au 2.68-2.85
Ga  0.0589  0.6625  0.1178  4 Au 2.59-2.83, 2 Ga 2.89
Ga  0.5979  0.9002  0.1959  1 Ga 2.53, 2 Au 2.69
Au  0.7663  0.6640  0.5325  7 Ga 2.62-2.85, 2 Mg 2.91
Au  0.6147  0.5212  0.2294  6 Ga 2.60-2.89, 3 Mg 2.78-2.86
Au  0.0397  0.0320  0.0793  5 Ga 2.59-2.83
Au  0.2337  0.1640  0.4675  7 Ga 2.62-2.85, 2 Mg 2.91
Au  0.9603  0.5320  0.9207  5 Ga 2.59-2.83
Au  0.3853  0.0212  0.7706  6 Ga 2.60-2.89, 3 Mg 2.78-2.86

- space-group type = No. 36


Calculated values (meV/atom) of formation enthalpy at 0 K for the records, taken in order: -266.2, -304.2, -177.3, -449.8, -300.4, -378.4, -249.6, -288.8.